# 1
Below is a PBEsol-optimized structure of SnMoI2, with properties calculated at the SCAN level.

a b c (Å): 7.2145 7.2145 7.2145
angles (deg): 90.00 90.00 90.00
Space group Fm-3m (No. 225)
Unique sites:
Sn  0.0000  0.0000  0.0000
Mo  0.0000  0.0000  0.5000
I  0.2500  0.2500  0.2500

Properties
Magnetization ... 1.45 μB per formula unit
N(E_F) ... 9.67 states/eV per cell
ΔE_f (raw) ... 100.7 kJ per mole of atoms

***

# 2
Below is a PBEsol-optimized structure of SrMoI2, with properties calculated at the SCAN level.

a b c (Å): 5.6644 5.6644 17.7669
angles (deg): 90.00 90.00 90.00
Space group I-42d (No. 122)
Unique sites:
Sr  0.0000  0.0000  0.0000
Mo  0.0000  0.0000  0.5000
I  0.1959  0.2500  0.6250

Properties
Magnetization ... 4.01 μB per formula unit
N(E_F) ... 4.59 states/eV per cell
ΔE_f (raw) ... 6.7 kJ per mole of atoms

***

# 3
Below is a PBEsol-optimized structure of SrMoI3, with properties calculated at the SCAN level.

a b c (Å): 5.5484 5.5484 5.5484
angles (deg): 90.00 90.00 90.00
Space group Pm-3m (No. 221)
Unique sites:
Sr  0.0000  0.0000  0.0000
Mo  0.5000  0.5000  0.5000
I  0.0000  0.5000  0.5000

Properties
Magnetization ... 3.69 μB per formula unit
N(E_F) ... 2.04 states/eV per cell
ΔE_f (raw) ... -29.2 kJ per mole of atoms

***

# 4
Below is a PBEsol-optimized structure of TeMoWI2, with properties calculated at the SCAN level.

a b c (Å): 5.4811 5.4811 5.2053
angles (deg): 90.00 90.00 90.00
Space group P4/mmm (No. 123)
Unique sites:
Te  0.0000  0.0000  0.0000
Mo  0.5000  0.5000  0.0000
W  0.0000  0.0000  0.5000
I  0.0000  0.5000  0.5000

Properties
Magnetization ... 7.71 μB per formula unit
N(E_F) ... 2.88 states/eV per cell
Relative energy among the computed polymorphs ... 0.0 meV/atom
ΔE_f (raw) ... 128.5 kJ per mole of atoms

***

# 5
Below is a PBEsol-optimized structure of TiMoI2, with properties calculated at the SCAN level.

a b c (Å): 6.7259 6.7259 6.7259
angles (deg): 90.00 90.00 90.00
Space group Fm-3m (No. 225)
Unique sites:
Ti  0.0000  0.0000  0.0000
Mo  0.0000  0.0000  0.5000
I  0.2500  0.2500  0.2500

Properties
Magnetization ... 2.57 μB per formula unit
N(E_F) ... 14.02 states/eV per cell
ΔE_f (raw) ... 68.0 kJ per mole of atoms

***

# 6
Below is a PBEsol-optimized structure of TiMo3I, with properties calculated at the SCAN level.

a b c (Å): 4.7672 4.7672 4.7672
angles (deg): 90.00 90.00 90.00
Space group Pm-3m (No. 221)
Unique sites:
Ti  0.0000  0.0000  0.0000
Mo  0.0000  0.5000  0.5000
I  0.5000  0.5000  0.5000

Properties
Magnetization ... 1.77 μB per formula unit
N(E_F) ... 3.22 states/eV per cell
ΔE_f (raw) ... 199.2 kJ per mole of atoms

***

# 7
Below is a PBEsol-optimized structure of Tl3MoI, with properties calculated at the SCAN level.

a b c (Å): 5.4398 5.4398 5.4398
angles (deg): 90.00 90.00 90.00
Space group Pm-3m (No. 221)
Unique sites:
Tl  0.0000  0.0000  0.5000
Mo  0.0000  0.0000  0.0000
I  0.5000  0.5000  0.5000

Properties
Magnetization ... 3.44 μB per formula unit
N(E_F) ... 2.74 states/eV per cell
ΔE_f (raw) ... 35.6 kJ per mole of atoms

***

# 8
Below is a PBEsol-optimized structure of YMo2I, with properties calculated at the SCAN level.

a b c (Å): 6.6621 6.6621 6.6621
angles (deg): 90.00 90.00 90.00
Space group Fm-3m (No. 225)
Unique sites:
Y  0.0000  0.0000  0.0000
Mo  0.2500  0.2500  0.2500
I  0.0000  0.0000  0.5000

Properties
Magnetization ... 0.00 μB per formula unit
N(E_F) ... 17.02 states/eV per cell
ΔE_f (raw) ... 95.4 kJ per mole of atoms